No. 1
In2TcPb | PBE | optimized geometry

* formation enthalpy at 0 K: 0.251 eV/atom
* crystal system: orthorhombic

```
In2TcPb
1.0
-1.524 2.369 6.916
1.524 -2.369 6.916
1.524 2.369 -6.916
In Tc Pb
2 1 1
Cartesian
0.000 0.000 0.000 In
0.000 2.369 2.385 In
1.524 0.000 2.387 Tc
0.000 0.000 4.911 Pb
```


No. 2
InTc2Pb | PBE | optimized geometry

* formation enthalpy at 0 K: 0.598 eV/atom
* ΔE to the lowest computed polymorph: 395 meV/atom
* crystal system: cubic

```
InTc2Pb
1.0
0.000 3.318 3.318
3.318 0.000 3.318
3.318 3.318 0.000
In Tc Pb
1 2 1
Cartesian
0.000 0.000 0.000 In
1.659 1.659 1.659 Tc
4.978 4.978 4.978 Tc
3.318 3.318 3.318 Pb
```


No. 3
InTe6Pb5 | PBE | optimized geometry

* crystal system: monoclinic
* formation energy (no corrections): -35.47 kJ/mol of atoms

```
InTe6Pb5
1.0
3.995 -6.910 0.000
3.995 6.910 0.000
-2.646 0.000 7.510
In Te Pb
1 6 5
Cartesian
0.000 0.000 0.000 In
1.306 2.258 1.843 Te
-0.036 0.000 5.644 Te
1.306 -2.258 1.843 Te
4.038 2.258 5.667 Te
5.379 0.000 1.866 Te
4.038 -2.258 5.667 Te
2.672 4.559 3.755 Pb
3.995 2.293 0.000 Pb
2.672 0.000 3.755 Pb
3.995 -2.293 0.000 Pb
2.672 -4.559 3.755 Pb
```


No. 4
InTe2Pb | PBE | optimized geometry

* crystal system: orthorhombic
* formation energy (no corrections): 0.97 kJ/mol of atoms

```
InTe2Pb
1.0
-2.028 2.691 5.550
2.028 -2.691 5.550
2.028 2.691 -5.550
In Te Pb
1 2 1
Cartesian
0.000 0.000 0.000 In
2.028 0.000 2.841 Te
0.000 2.691 2.709 Te
0.000 0.000 5.550 Pb
```


No. 5
InTe3Pb | PBE | optimized geometry

* ΔE to the lowest computed polymorph: 417 meV/atom
* crystal system: cubic
* formation energy (no corrections): 20.47 kJ/mol of atoms

```
InTe3Pb
1.0
5.670 0.000 0.000
0.000 5.670 0.000
0.000 0.000 5.670
In Te Pb
1 3 1
Cartesian
0.000 0.000 0.000 In
0.000 0.000 2.835 Te
0.000 2.835 0.000 Te
2.835 0.000 0.000 Te
2.835 2.835 2.835 Pb
```


No. 6
InTe4Pb | PBE | optimized geometry

* crystal system: cubic
* formation energy (no corrections): 20.58 kJ/mol of atoms

```
InTe4Pb
1.0
0.000 4.570 4.570
4.570 0.000 4.570
4.570 4.570 0.000
In Te Pb
1 4 1
Cartesian
0.000 0.000 0.000 In
3.428 3.428 3.428 Te
5.713 5.713 3.428 Te
5.713 3.428 5.713 Te
3.428 5.713 5.713 Te
6.856 6.856 6.856 Pb
```


No. 7
InTe2Pb | PBE | optimized geometry

* crystal system: monoclinic
* formation energy (no corrections): -14.83 kJ/mol of atoms

```
InTe2Pb
1.0
3.341 0.000 0.000
0.000 6.019 0.000
-0.050 0.000 6.469
In Te Pb
1 2 1
Cartesian
0.000 0.000 0.000 In
0.092 0.000 3.236 Te
1.865 3.010 6.462 Te
2.089 3.010 3.220 Pb
```


No. 8
In2Te2Pb | PBE | optimized geometry

* ΔE to the lowest computed polymorph: 0 meV/atom
* crystal system: tetragonal
* formation energy (no corrections): -13.39 kJ/mol of atoms

```
In2Te2Pb
1.0
8.774 0.000 0.000
0.000 8.774 0.000
0.000 0.000 4.157
In Te Pb
4 4 2
Cartesian
1.214 3.173 0.000 In
3.173 7.560 0.000 In
5.601 1.214 0.000 In
7.560 5.601 0.000 In
1.464 5.851 2.079 Te
2.923 1.464 2.079 Te
5.851 7.310 2.079 Te
7.310 2.923 2.079 Te
0.000 0.000 2.079 Pb
4.387 4.387 2.079 Pb
```


No. 9
In6Te8Pb | PBE | optimized geometry

* crystal system: trigonal
* formation energy (no corrections): -20.71 kJ/mol of atoms

```
In6Te8Pb
1.0
5.644 3.259 4.716
-5.644 3.259 4.716
0.000 -6.518 4.716
In Te Pb
6 8 1
Cartesian
-1.462 -2.315 5.189 In
-1.274 2.424 5.189 In
-2.736 0.109 8.960 In
2.736 -0.109 5.189 In
1.274 -2.424 8.960 In
1.462 2.315 8.960 In
-2.870 -2.685 7.845 Te
-3.761 1.143 6.304 Te
0.000 0.000 4.096 Te
0.890 -3.828 6.304 Te
-0.890 3.828 7.845 Te
0.000 0.000 10.053 Te
3.761 -1.143 7.845 Te
2.870 2.685 6.304 Te
0.000 0.000 0.000 Pb
```


No. 10
InTe2Pb | PBE | optimized geometry

* crystal system: tetragonal
* formation energy (no corrections): -16.65 kJ/mol of atoms

```
InTe2Pb
1.0
-3.367 3.367 7.906
3.367 -3.367 7.906
3.367 3.367 -7.906
In Te Pb
2 4 2
Cartesian
0.000 0.000 0.000 In
0.000 3.367 3.953 In
5.051 1.521 -1.976 Te
1.521 1.684 1.976 Te
-1.684 1.846 5.929 Te
1.846 1.684 9.882 Te
3.367 0.000 3.953 Pb
0.000 0.000 7.906 Pb
```


No. 11
InTe2Pb | PBE | optimized geometry

* crystal system: trigonal
* formation energy (no corrections): -27.20 kJ/mol of atoms

```
InTe2Pb
1.0
2.188 1.263 7.983
-2.188 1.263 7.983
0.000 -2.526 7.983
In Te Pb
1 2 1
Cartesian
0.000 0.000 0.000 In
0.000 0.000 9.739 Te
0.000 0.000 14.005 Te
0.000 0.000 4.044 Pb
```


No. 12
InTe3Pb | PBE | optimized geometry

* ΔE to the lowest computed polymorph: 0 meV/atom
* crystal system: monoclinic
* formation energy (no corrections): -19.74 kJ/mol of atoms

```
InTe3Pb
1.0
4.426 0.000 0.000
0.000 13.389 0.000
-2.197 0.000 8.189
In Te Pb
2 6 2
Cartesian
-0.162 3.347 2.252 In
2.391 10.042 5.937 In
-2.025 8.248 8.182 Te
-2.025 11.836 8.182 Te
0.178 10.042 4.216 Te
2.051 3.347 3.973 Te
4.254 1.553 0.007 Te
4.254 5.141 0.007 Te
-0.199 3.347 6.722 Pb
2.428 10.042 1.467 Pb
```


In the order shown, the computed total DFT energy (no corrections) values come out to -4.6367; -6.1971; -3.7118; -3.1725; -2.9622; -2.9556; -3.3363; -3.2325; -3.2328; -3.3551; -3.4645; -3.3789 eV per atom.
In the order shown, the computed mass density values come out to 8.9; 11.8; 7.7; 7.9; 6.4; 7.2; 7.4; 7.2; 6.1; 5.3; 7.2; 4.8 g cm⁻³.